Entry 1:
First-principles (PBE) data for an optimized crystal structure of ZrPaNbOs, as listed in Alexandria via LeMat-Bulk.

Geometry as POSCAR:
```
ZrPaNbOs
1.0
-0.213 -4.235 -2.294
3.391 -3.338 0.780
-1.084 -4.013 2.443
Os Zr Pa Nb
1 1 1 1
Direct
0.500 0.500 0.500
0.750 0.750 0.750
0.250 0.250 0.250
0.000 0.000 0.000
```

Calculated values
size of the total moment	0.0000	μB/atom
theoretical density	12684	kg/m³
energy relative to the elements	-164	meV per atom

=====

Entry 2:
First-principles (PBE) data for an optimized crystal structure of NbOs3Pb, as listed in Alexandria via LeMat-Bulk.

Geometry as POSCAR:
```
NbOs3Pb
1.0
-0.440 -3.261 3.537
2.496 -3.192 -2.632
4.113 1.588 1.976
Os Nb Pb
3 1 1
Direct
0.000 0.000 0.500
0.500 0.000 0.000
0.000 0.500 0.000
0.000 0.000 0.000
0.500 0.500 0.500
```

Calculated values
size of the total moment	0.0866	μB/atom
energy relative to the lowest polymorph listed for this composition	0.000	eV per atom
theoretical density	12823	kg/m³
energy relative to the elements	2026	meV per atom

=====

Entry 3:
First-principles (PBE) data for an optimized crystal structure of NbOs3Pb, as listed in Alexandria via LeMat-Bulk.

Geometry as POSCAR:
```
NbOs3Pb
1.0
4.830 0.000 0.000
0.000 4.830 0.000
0.000 0.000 4.830
Pb Os Nb
1 3 1
Direct
0.000 0.000 0.000
0.000 0.500 0.000
0.000 0.000 0.500
0.500 0.000 0.000
0.500 0.500 0.500
```

Calculated values
size of the total moment	0.0002	μB/atom
energy relative to the lowest polymorph listed for this composition	0.950	eV per atom
theoretical density	12834	kg/m³
energy relative to the elements	2975	meV per atom